Compound: KInC
Source: Alexandria via LeMat-Bulk
Functional: PBE
Structure: optimized geometry

Output
**Magnetic moment**: 0.00 μB per cell
**Total DFT energy (no corrections)**: -4.105 eV per atom
**Calculated formation energy**: 0.25 eV/atom

a = 6.8782 Å, b = 3.7158 Å, c = 6.9203 Å
α = 90.00°, β = 103.41°, γ = 90.00°
Fractional coordinates of all 6 atoms:
K: 0.2255 0.0000 0.2962
K: 0.7745 0.0000 0.7038
In: 0.3324 0.5000 0.8146
In: 0.6676 0.5000 0.1854
C: 0.0729 0.5000 0.9594
C: 0.9271 0.5000 0.0406

=====

Compound: TbMn2PC
Source: Alexandria via LeMat-Bulk
Functional: PBE
Structure: optimized geometry

Output
**Magnetic moment**: 4.06 μB per cell
**Total DFT energy (no corrections)**: -8.210 eV per atom
**Calculated formation energy**: -0.69 eV/atom

a = 5.5309 Å, b = 5.5309 Å, c = 6.8926 Å
α = 90.00°, β = 90.00°, γ = 141.36°
Fractional coordinates of all 10 atoms:
Tb: 0.0440 0.9560 0.7500
Tb: 0.9560 0.0440 0.2500
Mn: 0.3290 0.6710 0.5580
Mn: 0.3290 0.6710 0.9420
Mn: 0.6710 0.3290 0.0580
Mn: 0.6710 0.3290 0.4420
P: 0.2333 0.7667 0.2500
P: 0.7667 0.2333 0.7500
C: 0.5000 0.5000 0.0000
C: 0.5000 0.5000 0.5000

=====

Which formula does entry 1 have?
KInC